Density functional theory data (GGA-PBE) for a geometry-optimized LiPm2USe6 structure.

Values from the calculation:
SG: P4mm (99)
Formation energy without anion corrections, kJ/mol of formula units: -1135

Cell lengths 7.0293, 7.0293, 5.9133 Å; angles 90.00, 90.00, 90.00 degrees
Fractional positions:
Li1 0.0000 0.0000 0.0000
Pm1 0.0000 0.5000 0.4259
Pm2 0.5000 0.0000 0.4259
U1 0.5000 0.5000 0.0812
Se1 0.0000 0.0000 0.5930
Se2 0.2375 0.2375 0.1513
Se3 0.2375 0.7625 0.1513
Se4 0.5000 0.5000 0.6021
Se5 0.7625 0.2375 0.1513
Se6 0.7625 0.7625 0.1513

Density functional theory data (GGA-PBE) for a geometry-optimized Li4PmY3Se8 structure.

Values from the calculation:
SG: R-3m (166)
Formation energy without anion corrections, kJ/mol of formula units: -2617

Cell lengths 8.0494, 8.0494, 8.0494 Å; angles 61.22, 61.22, 61.22 degrees
Fractional positions:
Li1 0.0000 0.0000 0.0000
Li2 0.0000 0.5000 0.5000
Li3 0.5000 0.0000 0.5000
Li4 0.5000 0.5000 0.0000
Pm1 0.5000 0.5000 0.5000
Y1 0.0000 0.0000 0.5000
Y2 0.0000 0.5000 0.0000
Y3 0.5000 0.0000 0.0000
Se1 0.2455 0.2455 0.7535
Se2 0.2455 0.7535 0.2455
Se3 0.2465 0.7545 0.7545
Se4 0.2510 0.2510 0.2510
Se5 0.7490 0.7490 0.7490
Se6 0.7535 0.2455 0.2455
Se7 0.7545 0.2465 0.7545
Se8 0.7545 0.7545 0.2465

Density functional theory data (GGA-PBE) for a geometry-optimized Li2PmYSe4 structure.

Values from the calculation:
SG: P2/m (10)
Formation energy without anion corrections, kJ/mol of formula units: -1302

Cell lengths 6.9339, 4.1263, 7.1449 Å; angles 90.00, 110.05, 90.00 degrees
Fractional positions:
Li1 0.0000 0.0000 0.0000
Li2 0.0000 0.5000 0.5000
Pm1 0.5000 0.0000 0.5000
Y1 0.5000 0.5000 0.0000
Se1 0.2427 0.5000 0.2422
Se2 0.2453 0.0000 0.7540
Se3 0.7547 0.0000 0.2460
Se4 0.7573 0.5000 0.7578

Density functional theory data (GGA-PBE) for a geometry-optimized LiPmY4Se8 structure.

Values from the calculation:
SG: R3m (160)
Formation energy without anion corrections, kJ/mol of formula units: -2411

Cell lengths 8.4439, 8.4439, 8.4439 Å; angles 59.53, 59.53, 59.53 degrees
Fractional positions:
Li1 0.0000 0.0000 0.0000
Pm1 0.6298 0.6298 0.6298
Y1 0.1096 0.6304 0.6304
Y2 0.2512 0.2512 0.2512
Y3 0.6304 0.1096 0.6304
Y4 0.6304 0.6304 0.1096
Se1 0.3795 0.3795 0.8518
Se2 0.3795 0.8518 0.3795
Se3 0.3841 0.3841 0.3841
Se4 0.3896 0.8732 0.8732
Se5 0.8518 0.3795 0.3795
Se6 0.8694 0.8694 0.8694
Se7 0.8732 0.3896 0.8732
Se8 0.8732 0.8732 0.3896

Density functional theory data (GGA-PBE) for a geometry-optimized Li3PmY4Se8 structure.

Values from the calculation:
SG: R-3m (166)
Formation energy without anion corrections, kJ/mol of formula units: -2676

Cell lengths 8.1398, 8.1398, 8.1398 Å; angles 60.00, 60.00, 60.00 degrees
Fractional positions:
Li1 0.0000 0.5000 0.5000
Li2 0.5000 0.0000 0.5000
Li3 0.5000 0.5000 0.0000
Pm1 0.0000 0.0000 0.0000
Y1 0.0000 0.0000 0.5000
Y2 0.0000 0.5000 0.0000
Y3 0.5000 0.0000 0.0000
Y4 0.5000 0.5000 0.5000
Se1 0.2508 0.2508 0.2508
Se2 0.2528 0.2528 0.7417
Se3 0.2528 0.7417 0.2528
Se4 0.2583 0.7472 0.7472
Se5 0.7417 0.2528 0.2528
Se6 0.7472 0.2583 0.7472
Se7 0.7472 0.7472 0.2583
Se8 0.7492 0.7492 0.7492

Density functional theory data (GGA-PBE) for a geometry-optimized Li2PmY3Se6 structure.

Values from the calculation:
SG: C2/m (12)
Formation energy without anion corrections, kJ/mol of formula units: -2016

Cell lengths 7.0425, 7.0425, 7.0792 Å; angles 99.59, 99.59, 119.98 degrees
Fractional positions:
Li1 0.1685 0.8315 0.0000
Li2 0.8315 0.1685 0.0000
Pm1 0.5000 0.5000 0.0000
Y1 0.0000 0.0000 0.5000
Y2 0.3351 0.6649 0.5000
Y3 0.6649 0.3351 0.5000
Se1 0.0751 0.4179 0.7531
Se2 0.2390 0.2390 0.2462
Se3 0.4179 0.0751 0.7531
Se4 0.5821 0.9249 0.2469
Se5 0.7610 0.7610 0.7538
Se6 0.9249 0.5821 0.2469

Density functional theory data (GGA-PBE) for a geometry-optimized LiPm2Y3Se6 structure.

Values from the calculation:
SG: C2/m (12)
Formation energy without anion corrections, kJ/mol of formula units: -2059

Cell lengths 7.1216, 7.1216, 7.1145 Å; angles 99.66, 99.66, 120.14 degrees
Fractional positions:
Li1 0.0000 0.0000 0.0000
Pm1 0.3345 0.6655 0.0000
Pm2 0.6655 0.3345 0.0000
Y1 0.1685 0.8315 0.5000
Y2 0.5000 0.5000 0.5000
Y3 0.8315 0.1685 0.5000
Se1 0.0834 0.4042 0.2517
Se2 0.2353 0.2353 0.7497
Se3 0.4042 0.0834 0.2517
Se4 0.5958 0.9166 0.7483
Se5 0.7647 0.7647 0.2503
Se6 0.9166 0.5958 0.7483

Density functional theory data (GGA-PBE) for a geometry-optimized LiPm3Y2Se6 structure.

Values from the calculation:
SG: C2/m (12)
Formation energy without anion corrections, kJ/mol of formula units: -2068

Cell lengths 7.1173, 7.1173, 7.1821 Å; angles 99.55, 99.55, 120.14 degrees
Fractional positions:
Li1 0.0000 0.0000 0.0000
Pm1 0.1669 0.8331 0.5000
Pm2 0.5000 0.5000 0.5000
Pm3 0.8331 0.1669 0.5000
Y1 0.3347 0.6653 0.0000
Y2 0.6653 0.3347 0.0000
Se1 0.0780 0.4033 0.2358
Se2 0.2454 0.2454 0.7658
Se3 0.4033 0.0780 0.2358
Se4 0.5967 0.9220 0.7642
Se5 0.7546 0.7546 0.2342
Se6 0.9220 0.5967 0.7642

Density functional theory data (GGA-PBE) for a geometry-optimized LiPm2YSe4 structure.

Values from the calculation:
SG: P2/m (10)
Formation energy without anion corrections, kJ/mol of formula units: -1362

Cell lengths 7.1207, 4.1159, 7.1401 Å; angles 90.00, 109.32, 90.00 degrees
Fractional positions:
Li1 0.0000 0.0000 0.0000
Pm1 0.0000 0.5000 0.5000
Pm2 0.5000 0.0000 0.5000
Y1 0.5000 0.5000 0.0000
Se1 0.2416 0.5000 0.2356
Se2 0.2484 0.0000 0.7638
Se3 0.7516 0.0000 0.2362
Se4 0.7584 0.5000 0.7644

Density functional theory data (GGA-PBE) for a geometry-optimized LiPmZnSe3 structure.

Values from the calculation:
SG: P2_1/m (11)
Formation energy without anion corrections, kJ/mol of formula units: -716

Cell lengths 7.9846, 3.9580, 9.2715 Å; angles 90.00, 102.19, 90.00 degrees
Fractional positions:
Li1 0.1422 0.2500 0.1108
Li2 0.8578 0.7500 0.8892
Pm1 0.2972 0.7500 0.7809
Pm2 0.7028 0.2500 0.2191
Zn1 0.3908 0.7500 0.3869
Zn2 0.6092 0.2500 0.6131
Se1 0.0584 0.2500 0.8272
Se2 0.2760 0.2500 0.5014
Se3 0.4112 0.7500 0.1297
Se4 0.5888 0.2500 0.8703
Se5 0.7240 0.7500 0.4986
Se6 0.9416 0.7500 0.1728

Density functional theory data (GGA-PBE) for a geometry-optimized LiPm2Si structure.

Values from the calculation:
SG: Fm-3m (225)
Formation energy without anion corrections, kJ/mol of formula units: -137

Cell lengths 5.1141, 5.1141, 5.1141 Å; angles 60.00, 60.00, 60.00 degrees
Fractional positions:
Li1 0.0000 0.0000 0.0000
Pm1 0.2500 0.2500 0.2500
Pm2 0.7500 0.7500 0.7500
Si1 0.5000 0.5000 0.5000

Density functional theory data (GGA-PBE) for a geometry-optimized Li2Pm5Si5 structure.

Values from the calculation:
SG: C2/m (12)
Formation energy without anion corrections, kJ/mol of formula units: -524

Cell lengths 5.8736, 5.8736, 11.8656 Å; angles 107.90, 107.90, 43.94 degrees
Fractional positions:
Li1 0.1184 0.1184 0.1909
Li2 0.8816 0.8816 0.8091
Pm1 0.1504 0.1504 0.4530
Pm2 0.1504 0.1504 0.7661
Pm3 0.5000 0.5000 0.0000
Pm4 0.8496 0.8496 0.2339
Pm5 0.8496 0.8496 0.5470
Si1 0.2196 0.2196 0.0319
Si2 0.4220 0.4220 0.7212
Si3 0.5000 0.5000 0.5000
Si4 0.5780 0.5780 0.2788
Si5 0.7804 0.7804 0.9681

Density functional theory data (GGA-PBE) for a geometry-optimized LiPmSi2 structure.

Values from the calculation:
Relative energy among the computed polymorphs, meV/atom: 338.2
SG: Amm2 (38)
Formation energy without anion corrections, kJ/mol of formula units: -101

Cell lengths 3.7426, 4.8754, 4.8754 Å; angles 77.00, 90.00, 90.00 degrees
Fractional positions:
Li1 0.0000 0.0000 0.0000
Pm1 0.5000 0.4060 0.4060
Si1 0.0000 0.5174 0.8903
Si2 0.0000 0.8903 0.5174

Density functional theory data (GGA-PBE) for a geometry-optimized Li2PmSi structure.

Values from the calculation:
Relative energy among the computed polymorphs, meV/atom: 0.0
SG: Fm-3m (225)
Formation energy without anion corrections, kJ/mol of formula units: -117

Cell lengths 4.6160, 4.6160, 4.6160 Å; angles 60.00, 60.00, 60.00 degrees
Fractional positions:
Li1 0.2500 0.2500 0.2500
Li2 0.7500 0.7500 0.7500
Pm1 0.0000 0.0000 0.0000
Si1 0.5000 0.5000 0.5000

Density functional theory data (GGA-PBE) for a geometry-optimized Li6PmSi4 structure.

Values from the calculation:
SG: P-6m2 (187)
Formation energy without anion corrections, kJ/mol of formula units: -236

Cell lengths 6.9232, 6.9232, 4.3202 Å; angles 90.00, 90.00, 120.00 degrees
Fractional positions:
Li1 0.2021 0.4043 0.0000
Li2 0.2021 0.7979 0.0000
Li3 0.2440 0.1220 0.5000
Li4 0.5957 0.7979 0.0000
Li5 0.8780 0.1220 0.5000
Li6 0.8780 0.7560 0.5000
Pm1 0.6667 0.3333 0.0000
Si1 0.0000 0.0000 0.0000
Si2 0.0944 0.5472 0.5000
Si3 0.4528 0.5472 0.5000
Si4 0.4528 0.9056 0.5000

Density functional theory data (GGA-PBE) for a geometry-optimized Li3PmSi3 structure.

Values from the calculation:
SG: P6_3/m (176)
Formation energy without anion corrections, kJ/mol of formula units: -284

Cell lengths 9.3388, 9.3388, 3.8132 Å; angles 90.00, 90.00, 120.00 degrees
Fractional positions:
Li1 0.0876 0.3180 0.2500
Li2 0.2304 0.9124 0.2500
Li3 0.3180 0.2304 0.7500
Li4 0.6820 0.7696 0.2500
Li5 0.7696 0.0876 0.7500
Li6 0.9124 0.6820 0.7500
Pm1 0.3333 0.6667 0.7500
Pm2 0.6667 0.3333 0.2500
Si1 0.0456 0.5893 0.2500
Si2 0.4107 0.4563 0.2500
Si3 0.4563 0.0456 0.7500
Si4 0.5437 0.9544 0.2500
Si5 0.5893 0.5437 0.7500
Si6 0.9544 0.4107 0.7500

Density functional theory data (GGA-PBE) for a geometry-optimized Li2PmSi structure.

Values from the calculation:
Relative energy among the computed polymorphs, meV/atom: 103.7
SG: P4/mmm (123)
Formation energy without anion corrections, kJ/mol of formula units: -77

Cell lengths 4.2217, 4.2217, 4.8627 Å; angles 90.00, 90.00, 90.00 degrees
Fractional positions:
Li1 0.0000 0.5000 0.0000
Li2 0.5000 0.0000 0.0000
Pm1 0.0000 0.0000 0.5000
Si1 0.5000 0.5000 0.5000

Density functional theory data (GGA-PBE) for a geometry-optimized LiPmSi2 structure.

Values from the calculation:
Relative energy among the computed polymorphs, meV/atom: 255.2
SG: P4/mmm (123)
Formation energy without anion corrections, kJ/mol of formula units: -133

Cell lengths 4.2203, 4.2203, 4.2674 Å; angles 90.00, 90.00, 90.00 degrees
Fractional positions:
Li1 0.0000 0.0000 0.0000
Pm1 0.5000 0.5000 0.0000
Si1 0.0000 0.5000 0.5000
Si2 0.5000 0.0000 0.5000

Density functional theory data (GGA-PBE) for a geometry-optimized LiPmSi2 structure.

Values from the calculation:
Relative energy among the computed polymorphs, meV/atom: 447.1
SG: Fm-3m (225)
Formation energy without anion corrections, kJ/mol of formula units: -59

Cell lengths 4.8441, 4.8441, 4.8441 Å; angles 60.00, 60.00, 60.00 degrees
Fractional positions:
Li1 0.0000 0.0000 0.0000
Pm1 0.5000 0.5000 0.5000
Si1 0.2500 0.2500 0.2500
Si2 0.7500 0.7500 0.7500

Density functional theory data (GGA-PBE) for a geometry-optimized LiPmSi2 structure.

Values from the calculation:
Relative energy among the computed polymorphs, meV/atom: 0.0
SG: Pnma (62)
Formation energy without anion corrections, kJ/mol of formula units: -232

Cell lengths 6.7841, 4.1844, 10.9222 Å; angles 90.00, 90.00, 90.00 degrees
Fractional positions:
Li1 0.1350 0.2500 0.0564
Li2 0.3650 0.7500 0.5564
Li3 0.6350 0.2500 0.4436
Li4 0.8650 0.7500 0.9436
Pm1 0.1442 0.2500 0.3476
Pm2 0.3558 0.7500 0.8476
Pm3 0.6442 0.2500 0.1524
Pm4 0.8558 0.7500 0.6524
Si1 0.0306 0.2500 0.8350
Si2 0.1829 0.2500 0.6392
Si3 0.3171 0.7500 0.1392
Si4 0.4694 0.7500 0.3350
Si5 0.5306 0.2500 0.6650
Si6 0.6829 0.2500 0.8608
Si7 0.8171 0.7500 0.3608
Si8 0.9694 0.7500 0.1650

Density functional theory data (GGA-PBE) for a geometry-optimized Li8PmSi4 structure.

Values from the calculation:
SG: I4/mmm (139)
Formation energy without anion corrections, kJ/mol of formula units: -274

Cell lengths 6.8347, 6.8347, 6.8347 Å; angles 98.40, 98.40, 135.06 degrees
Fractional positions:
Li1 0.0000 0.2201 0.2201
Li2 0.0000 0.7799 0.7799
Li3 0.1524 0.5000 0.6524
Li4 0.2201 0.0000 0.2201
Li5 0.5000 0.1524 0.6524
Li6 0.5000 0.8476 0.3476
Li7 0.7799 0.0000 0.7799
Li8 0.8476 0.5000 0.3476
Pm1 0.5000 0.5000 0.0000
Si1 0.0000 0.0000 0.5000
Si2 0.0000 0.5000 0.0000
Si3 0.5000 0.0000 0.0000
Si4 0.5000 0.5000 0.5000

Density functional theory data (GGA-PBE) for a geometry-optimized LiPmSi4 structure.

Values from the calculation:
Relative energy among the computed polymorphs, meV/atom: 0.0
SG: F-43m (216)
Formation energy without anion corrections, kJ/mol of formula units: -150

Cell lengths 5.2707, 5.2707, 5.2707 Å; angles 60.00, 60.00, 60.00 degrees
Fractional positions:
Li1 0.0000 0.0000 0.0000
Pm1 0.2500 0.2500 0.2500
Si1 0.1161 0.6280 0.6280
Si2 0.6280 0.1161 0.6280
Si3 0.6280 0.6280 0.1161
Si4 0.6280 0.6280 0.6280

Density functional theory data (GGA-PBE) for a geometry-optimized LiPmSi2 structure.

Values from the calculation:
Relative energy among the computed polymorphs, meV/atom: 322.8
SG: P4/mmm (123)
Formation energy without anion corrections, kJ/mol of formula units: -107

Cell lengths 3.3773, 3.3773, 6.5080 Å; angles 90.00, 90.00, 90.00 degrees
Fractional positions:
Li1 0.0000 0.0000 0.0000
Pm1 0.0000 0.0000 0.5000
Si1 0.5000 0.5000 0.1890
Si2 0.5000 0.5000 0.8110